# K2CrPb, optimized geometry, DFT PBE
# DFT total energy = -3.50 eV/atom
# Density = 3.32 Mg/m³
# Formation enthalpy at 0 K = 0.39 eV per atom
data_K2CrPb
_symmetry_space_group_name_H-M 'P 1'
_symmetry_Int_Tables_number 1
_cell_length_a 4.847
_cell_length_b 6.805
_cell_length_c 6.805
_cell_angle_alpha 48.76
_cell_angle_beta 90.00
_cell_angle_gamma 90.00
loop_
_symmetry_equiv_pos_as_xyz
'x,y,z'
loop_
_atom_site_label
_atom_site_fract_x
_atom_site_fract_y
_atom_site_fract_z
_atom_site_occupancy
K1 0.000 0.000 0.000 1
K2 0.500 0.292 0.292 1
Cr1 0.500 0.600 0.600 1
Pb1 0.000 0.701 0.701 1